CaCdBr2 (PBE, relaxed); electronic total energy = -11.164 eV/cell; crystal system = orthorhombic; distance to the lowest polymorph of the same formula = 150 meV per atom; spin magnetization = 0.000 μB/f.u.; density = 3.8 g/cm³
1.0
-3.388 1.237 -0.604
-0.249 -2.106 -2.979
-3.769 -7.559 5.658
Cd Br Ca
1 2 1
Cartesian
-4.645 -6.103 2.452
-0.316 -0.633 0.474
-1.569 -3.146 2.355
-2.761 -2.324 -0.377